A plane-wave DFT calculation with PBE-GGA was carried out for TaRu2Cl after structural relaxation.

Cell lengths 9.600, 2.913, 4.453 Å; angles 90.00, 91.22, 90.00 degrees
Space group C2/m (No. 12)
Inequivalent atoms, fractional coordinates:
Ta (0.000, 0.000, 0.000) [2 per cell]
Ru (0.221, 0.500, 0.235) [4 per cell]
Cl (0.000, 0.500, 0.500) [2 per cell]

## Properties
V, Å³/cell: 124.5
Uncorrected formation energy, kJ/mol of atoms: 29.01
DFT total energy, eV per atom: -7.7621
E above lowest polymorph, meV per atom: 214